1.
Entry from the Alexandria database: a relaxed Li2ReSb crystal (PBE).

Properties
V (Å³/atom): 15.81
Density (g/cm³): 8.45
Space group: No. 123

CIF file:
```
data_Li2ReSb
_symmetry_space_group_name_H-M 'P 1'
_symmetry_Int_Tables_number 1
_symmetry_space_group_name_Hall 'P 1'
_cell_length_a 3.929
_cell_length_b 3.929
_cell_length_c 4.098
_cell_angle_alpha 90.00
_cell_angle_beta 90.00
_cell_angle_gamma 90.00
loop_
_atom_site_label
_atom_site_type_symbol
_atom_site_fract_x
_atom_site_fract_y
_atom_site_fract_z
Li1 Li 0.000 0.500 0.000
Li2 Li 0.500 0.000 0.000
Re1 Re 0.000 0.000 0.500
Sb1 Sb 0.500 0.500 0.500
```

2.
Entry from the Alexandria database: a relaxed Li2ReSb crystal (PBE).

Properties
V (Å³/atom): 15.80
Density (g/cm³): 8.46
Space group: No. 216

CIF file:
```
data_Li2ReSb
_symmetry_space_group_name_H-M 'P 1'
_symmetry_Int_Tables_number 1
_symmetry_space_group_name_Hall 'P 1'
_cell_length_a 4.471
_cell_length_b 4.471
_cell_length_c 4.471
_cell_angle_alpha 60.00
_cell_angle_beta 60.00
_cell_angle_gamma 60.00
loop_
_atom_site_label
_atom_site_type_symbol
_atom_site_fract_x
_atom_site_fract_y
_atom_site_fract_z
Li1 Li 0.000 0.000 0.000
Li2 Li 0.250 0.250 0.250
Re1 Re 0.500 0.500 0.500
Sb1 Sb 0.750 0.750 0.750
```

ΔE_f (raw) values, unit eV/atom, following the record order: 0.277; 0.158.
Total magnetization values, unit μB per formula unit, following the record order: 0.71; 0.00.